VASP calculation (PBEsol) on Co2RePt after structural relaxation.

Computed properties:
Energy relative to the lowest polymorph listed for this composition in meV/atom: 0.0
Formation energy in eV per atom: 0.01

Unit cell a=2.6514 b=2.6514 c=7.1600 alpha=90.00 beta=90.00 gamma=90.00
Closest atoms and distances in Å follow each position.
Element x y z (fractional)
Co: 0.5000 0.5000 0.2288  8 Co 2.44-2.65, 4 Pt 2.65
Re: 0.5000 0.5000 0.7705  4 Co 2.55, 4 Re 2.65, 4 Pt 2.75
Co: 0.0000 0.0000 0.0111  8 Co 2.44-2.65, 4 Re 2.55
Pt: 0.0000 0.0000 0.4896  4 Co 2.65, 4 Pt 2.65, 4 Re 2.75

VASP calculation (PBEsol) on HgTeBr2 after structural relaxation.

Computed properties:
Energy relative to the lowest polymorph listed for this composition in meV/atom: 317.9

Unit cell a=5.2404 b=5.2404 c=5.2404 alpha=60.00 beta=60.00 gamma=60.00
Closest atoms and distances in Å follow each position.
Element x y z (fractional)
Br: 0.2500 0.2500 0.2500  4 Hg 3.21, 4 Te 3.21
Te: 0.0000 0.0000 0.0000  8 Br 3.21
Hg: 0.5000 0.5000 0.5000  8 Br 3.21
Br: 0.7500 0.7500 0.7500  4 Hg 3.21, 4 Te 3.21

VASP calculation (PBEsol) on Li2ReW after structural relaxation.

Computed properties:
Energy relative to the lowest polymorph listed for this composition in meV/atom: 757.3
Formation energy in eV per atom: 1.01

Unit cell a=4.1210 b=4.1210 c=4.1210 alpha=60.00 beta=60.00 gamma=60.00
Closest atoms and distances in Å follow each position.
Element x y z (fractional)
Re: 0.0000 0.0000 0.0000  8 Li 2.52
W: 0.5000 0.5000 0.5000  8 Li 2.52
Li: 0.2500 0.2500 0.2500  4 W 2.52, 4 Re 2.52
Li: 0.7500 0.7500 0.7500  4 W 2.52, 4 Re 2.52

VASP calculation (PBEsol) on Y2MgSi after structural relaxation.

Computed properties:
Raw total energy in eV/atom: -5.3215

Unit cell a=6.5427 b=6.5427 c=6.5427 alpha=104.18 beta=104.18 gamma=120.68
Closest atoms and distances in Å follow each position.
Element x y z (fractional)
Si: 0.0000 0.0000 0.0000  4 Y 2.76
Y: 0.3371 0.3750 0.4621  2 Si 2.76
Mg: 0.5000 0.5000 0.0000  4 Y 3.17, 2 Si 3.24
Y: 0.1250 0.6629 0.0379  2 Si 2.76
Si: 0.2500 0.7500 0.5000  4 Y 2.76
Mg: 0.7500 0.2500 0.5000  4 Y 3.17, 2 Si 3.24
Y: 0.6250 0.0871 0.9621  2 Si 2.76
Y: 0.9129 0.8750 0.5379  2 Si 2.76

VASP calculation (PBEsol) on KCd2 after structural relaxation.

Computed properties:
Formation energy in eV per atom: -0.06

Unit cell a=6.1975 b=6.1975 c=6.1975 alpha=60.00 beta=60.00 gamma=60.00
Closest atoms and distances in Å follow each position.
Element x y z (fractional)
K: 0.5000 0.5000 0.5000  12 Cd 3.63, 4 K 3.80
Cd: 0.1250 0.1250 0.1250  6 Cd 3.10
Cd: 0.1250 0.6250 0.1250  6 Cd 3.10
K: 0.7500 0.7500 0.7500  12 Cd 3.63, 4 K 3.80
Cd: 0.1250 0.1250 0.6250  6 Cd 3.10
Cd: 0.6250 0.1250 0.1250  6 Cd 3.10

VASP calculation (PBEsol) on ZrBeCl2 after structural relaxation.

Computed properties:
Energy relative to the lowest polymorph listed for this composition in meV/atom: 444.8

Unit cell a=3.1927 b=4.3425 c=5.1278 alpha=90.00 beta=93.19 gamma=90.00
Closest atoms and distances in Å follow each position.
Element x y z (fractional)
Cl: 0.2750 0.0000 0.2506  2 Zr 2.60, 2 Be 2.65, 1 Cl 2.86
Be: 0.0000 0.5000 0.0000  4 Cl 2.65, 2 Zr 2.94
Cl: 0.7250 0.0000 0.7494  2 Zr 2.60, 2 Be 2.65, 1 Cl 2.86
Zr: 0.5000 0.5000 0.5000  4 Cl 2.60

VASP calculation (PBEsol) on CrSeIO2 after structural relaxation.

Computed properties:
Raw total energy in eV/atom: -5.7508

Unit cell a=3.7655 b=3.7655 c=5.9073 alpha=90.00 beta=90.00 gamma=90.00
Closest atoms and distances in Å follow each position.
Element x y z (fractional)
O: 0.5000 0.0000 0.0000  2 Cr 1.88
Cr: 0.0000 0.0000 0.0000  4 O 1.88
Se: 0.5000 0.5000 0.5000  4 I 2.66
I: 0.0000 0.0000 0.5000  4 Se 2.66, 2 Cr 2.95
O: 0.0000 0.5000 0.0000  2 Cr 1.88

VASP calculation (PBEsol) on CaCrN3 after structural relaxation.

Computed properties:
Raw total energy in eV/atom: -7.9545

Unit cell a=3.7311 b=3.7311 c=3.7311 alpha=90.00 beta=90.00 gamma=90.00
Closest atoms and distances in Å follow each position.
Element x y z (fractional)
Ca: 0.5000 0.5000 0.5000  12 N 2.64
N: 0.5000 0.0000 0.0000  2 Cr 1.87
N: 0.0000 0.5000 0.0000  2 Cr 1.87
N: 0.0000 0.0000 0.5000  2 Cr 1.87
Cr: 0.0000 0.0000 0.0000  6 N 1.87